# 1
Entry from Alexandria: crystalline ScAgGe at its relaxed geometry (PBE).

Cell: 6.039 4.076 5.397 Å, 67.76 106.36 109.77°
Sites, in units of the cell vectors:
Ge: 0.778 0.829 0.263
Sc: 0.803 0.115 0.717
Ag: 0.050 0.515 0.165
Ge: 0.462 0.528 0.551
Ag: 0.190 0.843 0.650
Sc: 0.437 0.242 0.098

Properties
Formation enthalpy at 0 K in meV per atom: -436
Density of states at the Fermi level in states/eV per cell: 2.454
Crystal system: monoclinic
Space-group type: C2/m, No. 12

# 2
Entry from Alexandria: crystalline Y3CdRh4 at its relaxed geometry (PBE).

Cell: 4.784 4.784 8.265 Å, 73.18 73.18 60.00°
Sites, in units of the cell vectors:
Cd: 0.000 0.000 0.000
Y: 0.500 0.500 0.500
Rh: 0.125 0.125 0.625
Y: 0.744 0.744 0.769
Rh: 0.378 0.378 0.867
Rh: 0.875 0.875 0.375
Y: 0.256 0.256 0.231
Rh: 0.622 0.622 0.133

Properties
Formation enthalpy at 0 K in meV per atom: -719
Density of states at the Fermi level in states/eV per cell: 3.220
Crystal system: trigonal
Space-group type: R-3m, No. 166

# 3
Entry from Alexandria: crystalline MgBeCl at its relaxed geometry (PBE).

Cell: 4.078 3.772 8.105 Å, 90.00 92.35 90.00°
Sites, in units of the cell vectors:
Be: 0.985 0.250 0.439
Mg: 0.491 0.750 0.360
Mg: 0.509 0.250 0.640
Cl: 0.753 0.250 0.195
Be: 0.015 0.750 0.561
Cl: 0.247 0.750 0.805

Properties
Density of states at the Fermi level in states/eV per cell: 0.465
ΔE to the lowest computed polymorph in meV per atom: 57
Crystal system: monoclinic
Space-group type: P2_1/m, No. 11
Formation energy (no corrections) in kJ/mol of formula units: -146.0

# 4
Entry from Alexandria: crystalline Pm7Dy3Er2 at its relaxed geometry (PBE).

Cell: 3.554 6.425 18.044 Å, 75.21 90.00 90.00°
Sites, in units of the cell vectors:
Pm: 0.000 0.557 0.168
Er: 0.500 0.611 0.330
Dy: 0.000 0.886 0.660
Dy: 0.500 0.500 0.000
Er: 0.500 0.389 0.670
Pm: 0.000 0.443 0.832
Dy: 0.000 0.114 0.340
Pm: 0.500 0.238 0.505
Pm: 0.000 0.000 0.000
Pm: 0.500 0.762 0.495
Pm: 0.500 0.053 0.171
Pm: 0.500 0.947 0.829

Properties
Formation enthalpy at 0 K in meV per atom: 73
Density of states at the Fermi level in states/eV per cell: 17.739
ΔE to the lowest computed polymorph in meV per atom: 0
Crystal system: monoclinic
Space-group type: P2/m, No. 10

# 5
Entry from Alexandria: crystalline CaPuCdGa at its relaxed geometry (PBE).

Cell: 5.263 5.263 5.263 Å, 60.00 60.00 60.00°
Sites, in units of the cell vectors:
Ga: 0.750 0.750 0.750
Cd: 0.250 0.250 0.250
Ca: 0.000 0.000 0.000
Pu: 0.500 0.500 0.500

Properties
Formation enthalpy at 0 K in meV per atom: -211
Density of states at the Fermi level in states/eV per cell: 9.733
Crystal system: cubic
Space-group type: F-43m, No. 216

# 6
Entry from Alexandria: crystalline Dy4ZrSc5 at its relaxed geometry (PBE).

Cell: 5.534 7.639 7.639 Å, 82.46 68.77 68.77°
Sites, in units of the cell vectors:
Sc: 0.143 0.000 0.630
Dy: 0.124 0.318 0.318
Sc: 0.143 0.630 0.000
Zr: 0.216 0.000 0.000
Sc: 0.691 0.000 0.000
Sc: 0.773 0.000 0.370
Dy: 0.443 0.682 0.318
Dy: 0.443 0.318 0.682
Dy: 0.761 0.682 0.682
Sc: 0.773 0.370 0.000

Properties
Formation enthalpy at 0 K in meV per atom: 219
Density of states at the Fermi level in states/eV per cell: 16.389
Crystal system: tetragonal
Space-group type: I4mm, No. 107

# 7
Entry from Alexandria: crystalline VCrB at its relaxed geometry (PBE).

Cell: 5.641 2.872 7.923 Å, 90.00 103.12 90.00°
Sites, in units of the cell vectors:
B: 0.726 0.000 0.181
B: 0.869 0.500 0.276
V: 0.211 0.500 0.885
Cr: 0.044 0.500 0.577
V: 0.211 0.000 0.385
Cr: 0.044 0.000 0.077
Cr: 0.444 0.000 0.682
V: 0.695 0.500 0.956
Cr: 0.444 0.500 0.182
B: 0.726 0.500 0.681
V: 0.695 0.000 0.456
B: 0.869 0.000 0.776

Properties
Formation enthalpy at 0 K in meV per atom: -97
Density of states at the Fermi level in states/eV per cell: 6.621
ΔE to the lowest computed polymorph in meV per atom: 439
Crystal system: monoclinic
Space-group type: Cm, No. 8

# 8
Entry from Alexandria: crystalline NaCeCu2Br8 at its relaxed geometry (PBE).

Cell: 7.899 7.899 7.899 Å, 106.95 106.95 114.65°
Sites, in units of the cell vectors:
Br: 0.368 0.049 0.320
Br: 0.480 0.680 0.801
Cu: 0.500 0.500 0.000
Br: 0.320 0.121 0.801
Br: 0.951 0.632 0.680
Br: 0.729 0.049 0.680
Cu: 0.750 0.250 0.500
Br: 0.951 0.271 0.320
Br: 0.879 0.680 0.199
Na: 0.000 0.000 0.000
Br: 0.320 0.520 0.199
Ce: 0.250 0.750 0.500

Properties
Density of states at the Fermi level in states/eV per cell: 7.703
Crystal system: tetragonal
Space-group type: I-4m2, No. 119
Formation energy (no corrections) in kJ/mol of formula units: -1141.0

# 9
Entry from Alexandria: crystalline Rb3Pd2IBr9 at its relaxed geometry (PBE).

Cell: 7.730 7.730 9.736 Å, 90.00 90.00 120.00°
Sites, in units of the cell vectors:
Rb: 0.000 0.000 0.000
Rb: 0.667 0.333 0.311
Br: 0.638 0.819 0.309
Br: 0.500 0.500 0.000
I: 0.000 0.000 0.500
Pd: 0.667 0.333 0.846
Br: 0.000 0.500 0.000
Br: 0.362 0.181 0.691
Br: 0.819 0.638 0.691
Br: 0.819 0.181 0.691
Rb: 0.333 0.667 0.689
Br: 0.181 0.819 0.309
Br: 0.500 0.000 0.000
Pd: 0.333 0.667 0.154
Br: 0.181 0.362 0.309

Properties
Density of states at the Fermi level in states/eV per cell: 3.040
Crystal system: trigonal
Space-group type: P-3m1, No. 164
Formation energy (no corrections) in kJ/mol of formula units: -1207.0

# 10
Entry from Alexandria: crystalline Sr2PmAgTe4 at its relaxed geometry (PBE).

Cell: 4.598 7.943 8.001 Å, 69.77 90.00 90.00°
Sites, in units of the cell vectors:
Te: 0.500 0.263 0.741
Pm: 0.000 0.500 0.500
Sr: 0.000 0.000 0.000
Ag: 0.500 0.500 0.000
Te: 0.000 0.724 0.761
Te: 0.000 0.276 0.239
Te: 0.500 0.737 0.259
Sr: 0.500 0.000 0.500

Properties
Crystal system: monoclinic
Space-group type: P2/m, No. 10
Formation energy (no corrections) in kJ/mol of formula units: -973.3

# 11
Entry from Alexandria: crystalline Cs6MgBr8 at its relaxed geometry (PBE).

Cell: 9.191 9.191 9.191 Å, 69.94 69.94 69.94°
Sites, in units of the cell vectors:
Br: 0.912 0.144 0.713
Cs: 0.514 0.299 0.941
Cs: 0.299 0.941 0.514
Br: 0.088 0.856 0.287
Cs: 0.486 0.701 0.059
Cs: 0.701 0.059 0.486
Mg: 0.000 0.000 0.000
Br: 0.713 0.912 0.144
Br: 0.287 0.088 0.856
Br: 0.348 0.348 0.348
Br: 0.856 0.287 0.088
Cs: 0.941 0.514 0.299
Br: 0.144 0.713 0.912
Br: 0.652 0.652 0.652
Cs: 0.059 0.486 0.701

Properties
Density of states at the Fermi level in states/eV per cell: 0.000
Crystal system: trigonal
Space-group type: R-3, No. 148
Formation energy (no corrections) in kJ/mol of formula units: -2455.9